# 1
Compound: Rb4Pm3ThS8
Source: Alexandria
Functional: PBE-GGA
Structure: relaxed

Unit cell a=8.359 b=9.110 c=8.359 alpha=117.32 beta=120.00 gamma=90.00
Fractional positions:
Rb: 0.500 0.000 0.000
Rb: 0.500 0.000 0.500
Rb: 0.000 0.000 0.000
Rb: 0.000 0.000 0.500
Pm: 0.500 0.500 0.000
Pm: 0.500 0.500 0.500
Pm: 0.000 0.500 0.500
Th: 0.000 0.500 0.000
S: 0.230 0.698 0.968
S: 0.230 0.698 0.461
S: 0.267 0.302 0.535
S: 0.737 0.698 0.968
S: 0.263 0.302 0.032
S: 0.733 0.698 0.465
S: 0.770 0.302 0.539
S: 0.770 0.302 0.032

Spin magnetization in μB/cell: 0.00
Formation energy from raw total energies in eV/atom: -1.7924

---

# 2
Compound: Sm8YAl2
Source: Alexandria
Functional: PBE-GGA
Structure: relaxed

Unit cell a=5.739 b=8.689 c=8.689 alpha=118.55 beta=102.16 gamma=102.16
Fractional positions:
Sm: 0.889 0.913 0.676
Sm: 0.889 0.676 0.913
Sm: 0.294 0.592 0.592
Sm: 0.500 0.775 0.225
Sm: 0.500 0.225 0.775
Sm: 0.706 0.408 0.408
Sm: 0.111 0.324 0.087
Sm: 0.111 0.087 0.324
Y: 0.500 0.000 0.000
Al: 0.000 0.307 0.693
Al: 0.000 0.693 0.307

Spin magnetization in μB/cell: 0.00
Uncorrected energy in eV/atom: -4.696

---

# 3
Compound: Fe2PbW
Source: Alexandria
Functional: PBE-GGA
Structure: relaxed

Unit cell a=2.873 b=2.873 c=8.606 alpha=90.00 beta=90.00 gamma=109.80
Fractional positions:
Fe: 0.000 0.000 0.976
Fe: 0.000 0.000 0.524
Pb: 0.500 0.500 0.250
W: 0.500 0.500 0.750

Spin magnetization in μB/cell: 4.69
Uncorrected energy in eV/atom: -7.774

---

# 4
Compound: Y12P3C5
Source: Alexandria
Functional: PBE-GGA
Structure: relaxed

Unit cell a=13.245 b=13.245 c=13.245 alpha=109.47 beta=109.47 gamma=109.47
Fractional positions:
P: 0.750 0.375 0.125
P: 0.875 0.750 0.125
P: 0.375 0.750 0.625
P: 0.250 0.125 0.375
P: 0.875 0.125 0.250
P: 0.375 0.625 0.250
P: 0.625 0.375 0.750
P: 0.125 0.875 0.750
P: 0.750 0.875 0.625
P: 0.625 0.250 0.375
P: 0.125 0.250 0.875
P: 0.250 0.625 0.875
C: 0.125 0.375 0.250
C: 0.000 0.500 0.000
C: 0.000 0.000 0.000
C: 0.375 0.250 0.125
C: 0.500 0.000 0.500
C: 0.500 0.500 0.000
C: 0.125 0.750 0.375
C: 0.750 0.125 0.875
C: 0.750 0.625 0.375
C: 0.375 0.125 0.750
C: 0.625 0.875 0.250
C: 0.500 0.500 0.500
C: 0.500 0.000 0.000
C: 0.000 0.000 0.500
C: 0.250 0.375 0.625
C: 0.250 0.875 0.125
C: 0.000 0.500 0.500
C: 0.875 0.250 0.625
C: 0.625 0.750 0.875
C: 0.875 0.625 0.750
Y: 0.708 0.121 0.027
Y: 0.320 0.527 0.406
Y: 0.973 0.379 0.292
Y: 0.527 0.208 0.121
Y: 0.586 0.708 0.680
Y: 0.973 0.594 0.180
Y: 0.320 0.792 0.414
Y: 0.094 0.914 0.121
Y: 0.594 0.973 0.680
Y: 0.708 0.586 0.180
Y: 0.792 0.473 0.379
Y: 0.820 0.906 0.027
Y: 0.121 0.708 0.527
Y: 0.379 0.406 0.086
Y: 0.086 0.906 0.379
Y: 0.414 0.121 0.594
Y: 0.086 0.180 0.208
Y: 0.473 0.680 0.094
Y: 0.820 0.914 0.292
Y: 0.121 0.414 0.094
Y: 0.379 0.973 0.792
Y: 0.594 0.621 0.414
Y: 0.906 0.820 0.527
Y: 0.792 0.320 0.914
Y: 0.406 0.379 0.586
Y: 0.094 0.180 0.473
Y: 0.208 0.680 0.086
Y: 0.180 0.086 0.708
Y: 0.621 0.027 0.208
Y: 0.879 0.586 0.906
Y: 0.527 0.320 0.906
Y: 0.586 0.879 0.406
Y: 0.914 0.820 0.792
Y: 0.914 0.094 0.621
Y: 0.879 0.292 0.473
Y: 0.180 0.094 0.973
Y: 0.621 0.594 0.914
Y: 0.406 0.027 0.320
Y: 0.292 0.414 0.820
Y: 0.208 0.527 0.621
Y: 0.906 0.086 0.879
Y: 0.680 0.208 0.586
Y: 0.473 0.792 0.879
Y: 0.027 0.406 0.820
Y: 0.414 0.292 0.320
Y: 0.027 0.621 0.708
Y: 0.680 0.473 0.594
Y: 0.292 0.879 0.973

Spin magnetization in μB/cell: 0.00
Uncorrected energy in eV/atom: -7.516

---

# 5
Compound: In2GaCuHg
Source: Alexandria
Functional: PBE-GGA
Structure: relaxed

Unit cell a=5.180 b=5.180 c=4.692 alpha=90.00 beta=90.00 gamma=90.00
Fractional positions:
Cu: 0.000 0.000 0.000
Hg: 0.500 0.500 0.500
Ga: 0.000 0.000 0.500
In: 0.000 0.500 0.000
In: 0.500 0.000 0.000

Distance to the lowest polymorph of the same formula in eV per formula unit: 0.00
Spin magnetization in μB/cell: 0.00

---

# 6
Compound: CdP2Au
Source: Alexandria
Functional: PBE-GGA
Structure: relaxed

Unit cell a=5.756 b=5.756 c=4.953 alpha=111.42 beta=111.42 gamma=33.27
Fractional positions:
P: 0.987 0.987 0.888
P: 0.513 0.513 0.612
Au: 0.750 0.750 0.750
Cd: 0.250 0.250 0.250

Spin magnetization in μB/cell: 0.00
Uncorrected energy in eV/atom: -3.822

---

- The highest spin magnetization belongs to which entry?
  Fe2PbW